(1)
The following is a DFT calculation (PBE) of a relaxed structure of Ce2HoP.

Total magnetic moment in μB per formula unit: 1.922

Cell and atoms, written as POSCAR:
```
Ce2HoP
1.0
3.793 0.000 0.000
-1.896 3.285 0.000
0.000 0.000 27.786
Ce Ho P
6 3 3
Direct
0.000 0.000 0.000 Ce
0.000 0.000 0.207 Ce
0.333 0.667 0.667 Ce
0.333 0.667 0.874 Ce
0.667 0.333 0.333 Ce
0.667 0.333 0.541 Ce
0.000 0.000 0.438 Ho
0.333 0.667 0.104 Ho
0.667 0.333 0.771 Ho
0.000 0.000 0.604 P
0.333 0.667 0.270 P
0.667 0.333 0.937 P
```


(2)
The following is a DFT calculation (PBE) of a relaxed structure of CaHf2Ru.

Total magnetic moment in μB per formula unit: 0.000

Cell and atoms, written as POSCAR:
```
CaHf2Ru
1.0
7.956 0.000 0.000
0.000 7.956 0.000
0.000 0.000 6.049
Ca Hf Ru
4 8 4
Direct
0.000 0.000 0.000 Ca
0.000 0.500 0.250 Ca
0.500 0.000 0.750 Ca
0.500 0.500 0.500 Ca
0.180 0.250 0.625 Hf
0.250 0.680 0.875 Hf
0.250 0.820 0.375 Hf
0.320 0.250 0.125 Hf
0.680 0.750 0.125 Hf
0.750 0.180 0.375 Hf
0.750 0.320 0.875 Hf
0.820 0.750 0.625 Hf
0.000 0.000 0.500 Ru
0.000 0.500 0.750 Ru
0.500 0.000 0.250 Ru
0.500 0.500 0.000 Ru
```


(3)
The following is a DFT calculation (PBE) of a relaxed structure of Zn3Ag2Au6.

Total magnetic moment in μB per formula unit: 0.000

Cell and atoms, written as POSCAR:
```
Zn3Ag2Au6
1.0
-1.933 1.933 13.746
1.933 -1.933 13.746
1.933 1.933 -13.746
Zn Ag Au
3 2 6
Direct
0.000 0.000 0.000 Zn
0.139 0.139 0.000 Zn
0.861 0.861 0.000 Zn
0.333 0.333 0.000 Ag
0.667 0.667 0.000 Ag
0.070 0.570 0.500 Au
0.231 0.231 0.000 Au
0.430 0.930 0.500 Au
0.570 0.070 0.500 Au
0.769 0.769 0.000 Au
0.930 0.430 0.500 Au
```


(4)
The following is a DFT calculation (PBE) of a relaxed structure of SmZr2P.

Total magnetic moment in μB per formula unit: 0.020

Cell and atoms, written as POSCAR:
```
SmZr2P
1.0
3.632 0.000 0.000
-1.816 3.146 0.000
0.000 0.000 25.608
Sm Zr P
3 6 3
Direct
0.000 0.000 0.000 Sm
0.333 0.667 0.667 Sm
0.667 0.333 0.333 Sm
0.000 0.000 0.557 Zr
0.000 0.000 0.774 Zr
0.333 0.667 0.223 Zr
0.333 0.667 0.441 Zr
0.667 0.333 0.108 Zr
0.667 0.333 0.890 Zr
0.000 0.000 0.166 P
0.333 0.667 0.833 P
0.667 0.333 0.499 P
```


(5)
The following is a DFT calculation (PBE) of a relaxed structure of Ac2PmRh2.

Total magnetic moment in μB per formula unit: 0.000

Cell and atoms, written as POSCAR:
```
Ac2PmRh2
1.0
2.098 -6.936 0.000
2.098 6.936 0.000
0.000 0.000 10.201
Ac Pm Rh
4 2 4
Direct
0.142 0.858 0.566 Ac
0.142 0.858 0.934 Ac
0.858 0.142 0.066 Ac
0.858 0.142 0.434 Ac
0.403 0.597 0.750 Pm
0.597 0.403 0.250 Pm
0.238 0.762 0.250 Rh
0.500 0.500 0.000 Rh
0.500 0.500 0.500 Rh
0.762 0.238 0.750 Rh
```


(6)
The following is a DFT calculation (PBE) of a relaxed structure of DyThNi2.

Total magnetic moment in μB per formula unit: 0.000

Cell and atoms, written as POSCAR:
```
DyThNi2
1.0
4.736 0.000 0.000
-2.368 4.102 0.000
0.000 0.000 12.770
Dy Th Ni
3 3 6
Direct
0.000 0.000 0.000 Dy
0.333 0.667 0.667 Dy
0.667 0.333 0.333 Dy
0.000 0.000 0.500 Th
0.333 0.667 0.167 Th
0.667 0.333 0.833 Th
0.000 0.000 0.277 Ni
0.000 0.000 0.723 Ni
0.333 0.667 0.390 Ni
0.333 0.667 0.943 Ni
0.667 0.333 0.057 Ni
0.667 0.333 0.610 Ni
```


no.,DFT formation energy (eV/atom),total DFT energy (no corrections) (eV per atom)
1,-0.55,-6.013
2,0.23,-7.568
3,-0.03,-2.683
4,-0.59,-7.400
5,-0.61,-6.140
6,-0.35,-6.242